Record 1
Pu2BiN: optimized geometry, PBE.

POSCAR file:
```
Pu2BiN
1.0
3.1994 0.0000 0.0000
0.0000 3.1994 0.0000
0.0000 0.0000 8.1827
Pu Bi N
2 1 1
Direct
0.0000 0.0000 0.1738
0.0000 0.0000 0.8262
0.5000 0.5000 0.5000
0.5000 0.5000 0.0000
```

Computed properties:
Symmetry: P4/mmm (123)
Size of the total moment in Bohr magnetons per cell: 11.5
Total energy in eV/atom: -10.636
Offset from the most stable computed form in kJ per mole of atoms: 32.1
ΔE_f (raw) in eV per atom: -0.419


Record 2
Pu3Bi2N: optimized geometry, PBE.

POSCAR file:
```
Pu3Bi2N
1.0
-1.6821 3.0568 7.4756
1.6821 -3.0568 7.4756
1.6821 3.0568 -7.4756
Pu Bi N
3 2 1
Direct
0.0000 0.0000 0.0000
0.3898 0.3898 0.0000
0.6102 0.6102 0.0000
0.1872 0.6872 0.5000
0.8128 0.3128 0.5000
0.5000 0.0000 0.5000
```

Computed properties:
Symmetry: Immm (71)
Size of the total moment in Bohr magnetons per cell: 16.6
Total energy in eV/atom: -10.352
Offset from the most stable computed form in kJ per mole of atoms: 9.2
ΔE_f (raw) in eV per atom: -0.504


Look up the ΔE_f (raw) of the second one.
-0.504 eV per atom


Which of these has the lowest total energy?
Pu2BiN


ΔE_f (raw) of number 1 (Pu2BiN)?
-0.419 eV per atom